GGA-PBEsol ZnCrRh3, relaxed; space-group type = No. 221; calculated formation energy = 0.908 eV per atom; E above lowest polymorph = 0 meV per atom
1.0
4.361 0.000 0.000
0.000 4.361 0.000
0.000 0.000 4.361
Cr Zn Rh
1 1 3
direct
0.000 0.000 0.000
0.500 0.500 0.500
0.000 0.500 0.000
0.000 0.000 0.500
0.500 0.000 0.000


GGA-PBEsol Zr2CrRh, relaxed; space-group type = No. 25; calculated formation energy = 0.001 eV per atom; E above lowest polymorph = 336 meV per atom
1.0
3.046 0.000 0.000
0.000 4.309 0.000
0.000 0.000 5.339
Cr Rh Zr
1 1 2
direct
0.000 0.000 0.453
0.500 0.500 0.789
0.000 0.000 0.954
0.500 0.500 0.303


GGA-PBEsol Zr2CrRh, relaxed; space-group type = No. 166; calculated formation energy = 0.051 eV per atom; E above lowest polymorph = 386 meV per atom
1.0
-0.941 -2.630 1.370
0.443 -2.736 -1.414
7.034 -2.485 3.590
Cr Rh Zr
1 1 2
direct
0.500 0.500 0.500
0.000 0.000 0.000
0.247 0.247 0.260
0.753 0.753 0.740


GGA-PBEsol ZrCr2Rh, relaxed; space-group type = No. 99; calculated formation energy = -0.045 eV per atom
1.0
-2.447 0.284 -1.664
-0.262 -2.959 -0.119
-3.614 0.106 5.334
Cr Rh Zr
2 1 1
direct
0.000 0.000 0.042
0.500 0.500 0.227
0.000 0.000 0.473
0.500 0.500 0.759